1.
First-principles (PBE-GGA) data for a relaxed Be12Cr crystal, as listed in Alexandria via LeMat-Bulk.

Unit cell a=5.487 b=5.487 c=5.487 alpha=98.09 beta=98.09 gamma=135.93
Last column: magnetic moment on the atom in μB.
Element x y z (fractional)
Be 0.500 0.500 0.500  -0.02
Be 0.000 0.000 0.500  -0.02
Be 0.000 0.500 0.000  -0.02
Be 0.500 0.000 0.000  -0.02
Be 0.652 0.000 0.652  -0.02
Be 0.348 0.000 0.348  -0.02
Be 0.000 0.652 0.652  -0.02
Be 0.000 0.348 0.348  -0.02
Be 0.712 0.500 0.212  -0.02
Be 0.288 0.500 0.788  -0.02
Be 0.500 0.712 0.212  -0.02
Be 0.500 0.288 0.788  -0.02
Cr 0.000 0.000 0.000  1.70

Values from the calculation:
The space-group type is I4/mmm.

=====

2.
First-principles (PBE-GGA) data for a relaxed Be17Cr2 crystal, as listed in Alexandria via LeMat-Bulk.

Unit cell a=5.458 b=5.458 c=5.458 alpha=82.74 beta=82.74 gamma=82.74
Last column: magnetic moment on the atom in μB.
Element x y z (fractional)
Be 0.651 0.651 0.160  -0.03
Be 0.160 0.651 0.651  -0.03
Be 0.899 0.899 0.899  -0.03
Be 0.101 0.101 0.101  -0.03
Be 0.000 0.000 0.500  0.00
Be 0.000 0.500 0.000  0.00
Be 0.500 0.000 0.000  0.00
Be 0.303 0.697 0.000  -0.02
Be 0.697 0.000 0.303  -0.02
Be 0.000 0.303 0.697  -0.02
Be 0.697 0.303 0.000  -0.02
Be 0.303 0.000 0.697  -0.02
Be 0.000 0.697 0.303  -0.02
Be 0.840 0.349 0.349  -0.03
Be 0.349 0.349 0.840  -0.03
Be 0.349 0.840 0.349  -0.03
Be 0.651 0.160 0.651  -0.03
Cr 0.337 0.337 0.337  2.17
Cr 0.663 0.663 0.663  2.17

Values from the calculation:
The space-group type is R-3m.

=====

3.
First-principles (PBE-GGA) data for a relaxed BeCr crystal, as listed in Alexandria via LeMat-Bulk.

Unit cell a=2.402 b=2.402 c=6.802 alpha=90.00 beta=90.00 gamma=90.00
Element x y z (fractional)
Cr 0.000 0.000 0.530
Cr 0.500 0.500 0.220
Be 0.000 0.000 0.973
Be 0.500 0.500 0.777

Values from the calculation:
The space-group type is P4/nmm.

=====

4.
First-principles (PBE-GGA) data for a relaxed BeCr crystal, as listed in Alexandria via LeMat-Bulk.

Unit cell a=4.247 b=4.247 c=4.247 alpha=138.82 beta=127.50 gamma=68.81
Element x y z (fractional)
Cr 0.502 0.502 0.000
Cr 0.248 0.748 0.500
Be 0.982 0.982 0.000
Be 0.768 0.268 0.500

Values from the calculation:
The space-group type is Imma.

=====

| no. | N(E_F) (states/eV/cell) | energy of formation from the pure elements (eV per atom) |
| --- | --- | --- |
| 1 | 1.2 | -0.07 |
| 2 | 5.6 | -0.08 |
| 3 | 2.3 | 0.09 |
| 4 | 2.0 | 0.02 |